1.
A plane-wave DFT calculation with PBE was carried out for crystalline CuSb2TeSe at its relaxed geometry.

Properties
Energy relative to the lowest polymorph listed for this composition: 41.6 kJ/mol of atoms
Energy relative to the elements, uncorrected: 0.93 eV/atom

Unit cell a=5.431 b=5.431 c=5.402 alpha=90.00 beta=90.00 gamma=90.00
Sites, in units of the cell vectors:
Te 0.000 0.000 0.500
Sb 0.500 0.000 0.000
Sb 0.000 0.500 0.000
Se 0.000 0.000 0.000
Cu 0.500 0.500 0.500

2.
A plane-wave DFT calculation with PBE was carried out for crystalline PuGaRuRh at its relaxed geometry.

Properties
Energy: -8.953 eV/atom

Unit cell a=4.566 b=4.566 c=4.566 alpha=60.00 beta=60.00 gamma=60.00
Sites, in units of the cell vectors:
Ga 0.000 0.000 0.000
Pu 0.500 0.500 0.500
Rh 0.750 0.750 0.750
Ru 0.250 0.250 0.250

3.
A plane-wave DFT calculation with PBE was carried out for crystalline MgScMnP2 at its relaxed geometry.

Properties
Energy: -4.667 eV/atom

Unit cell a=4.707 b=5.098 c=4.707 alpha=90.00 beta=90.00 gamma=90.00
Sites, in units of the cell vectors:
P 0.000 0.000 0.500
P 0.500 0.000 0.000
Sc 0.000 0.500 0.000
Mn 0.500 0.500 0.500
Mg 0.000 0.000 0.000